Record 1
Compound: HfCuS2
Source: Alexandria via LeMat-Bulk
Functional: PBE
Structure: relaxed

Computed properties:
The value obtained for the raw formation energy is -0.96 eV/atom. For the total energy, the calculation gives -6.538 eV/atom. The total magnetization is 0.0 μB/f.u.

```
data_HfCuS2
_cell_length_a 3.5617
_cell_length_b 3.5617
_cell_length_c 22.1852
_cell_angle_alpha 90.00
_cell_angle_beta 90.00
_cell_angle_gamma 120.00
_space_group_name_H-M_alt 'R -3 m'
_space_group_IT_number 166
_space_group_name_Hall '-R 3 2"'
loop_
_atom_site_label
_atom_site_type_symbol
_atom_site_fract_x
_atom_site_fract_y
_atom_site_fract_z
Hf1 Hf 0.0000 0.0000 0.0000
Cu1 Cu 0.0000 0.0000 0.5000
S1 S 0.0000 0.0000 0.4022
```

Record 2
Compound: HfCuS3
Source: Alexandria via LeMat-Bulk
Functional: PBE
Structure: relaxed

Computed properties:
The value obtained for the raw formation energy is -0.91 eV/atom. The value obtained for the distance to the lowest polymorph of the same formula is 0.000 eV/atom. For the total energy, the calculation gives -6.197 eV/atom. The total magnetization is 0.0 μB/f.u.

```
data_HfCuS3
_cell_length_a 3.591
_cell_length_b 7.999
_cell_length_c 6.156
_cell_angle_alpha 90.00
_cell_angle_beta 98.16
_cell_angle_gamma 90.00
_space_group_name_H-M_alt 'P 1 21/m 1'
_space_group_IT_number 11
_space_group_name_Hall '-P 2yb'
loop_
_atom_site_label
_atom_site_type_symbol
_atom_site_fract_x
_atom_site_fract_y
_atom_site_fract_z
Hf1 Hf 0.245 0.250 0.489
Cu1 Cu 0.500 0.000 0.000
S1 S 0.205 0.559 0.311
S2 S 0.345 0.750 0.825
```

What is the raw formation energy in the first record? -0.96 eV/atom

Among the records above, which one has the lowest raw formation energy? HfCuS2